# Tb16Pr6Tm7 (PBE, relaxed)
data_Tb16Pr6Tm7
_chemical_formula_sum 'Tb64 Pr24 Tm28'
_cell_length_a 15.817
_cell_length_b 15.817
_cell_length_c 15.817
_cell_angle_alpha 90.00
_cell_angle_beta 90.00
_cell_angle_gamma 90.00
_space_group_name_H-M_alt 'F m -3 m'
_space_group_IT_number 225
_space_group_name_Hall '-F 4 2 3'
loop_
_atom_site_label
_atom_site_type_symbol
_atom_site_fract_x
_atom_site_fract_y
_atom_site_fract_z
Tb1 Tb 0.125 0.125 0.125
Tb2 Tb 0.152 0.152 0.348
Pr1 Pr 0.000 0.000 0.275
Tm1 Tm 0.000 0.000 0.000
Tm2 Tm 0.000 0.250 0.250
# DFT total energy   -4.396 eV/atom
# Size of the total moment   0.0 μB per cell